Below is a relaxed NaVClF2 crystal, with properties calculated at the PBE with a Hubbard U level.

Cell and atoms, written as POSCAR:
```
NaVClF2
1.0
4.151 0.000 0.000
0.000 4.151 0.000
0.000 0.000 5.105
Na V Cl F
1 1 1 2
Cartesian
0.000 0.000 0.000
2.076 2.076 2.553
2.076 2.076 0.000
0.000 2.076 2.553
2.076 0.000 2.553
```

Calculated values
- SG: P4/mmm, No. 123
- Mass density: 2.8 g/cm³
- Energy: -5.082 eV/atom
- Total magnetization: 3.0 μB per formula unit